An optimized crystal structure of SrHgSeO, computed with PBE.

a = 4.1912 Å, b = 4.1912 Å, c = 12.7885 Å
α = 90.00°, β = 90.00°, γ = 120.00°
Sites, in units of the cell vectors:
Sr  0.3333  0.6667  0.0000
Sr  0.6667  0.3333  0.5000
Hg  0.0000  0.0000  0.2200
Hg  0.0000  0.0000  0.7200
Se  0.3333  0.6667  0.3160
Se  0.6667  0.3333  0.8160
O  0.0000  0.0000  0.0466
O  0.0000  0.0000  0.5466

Calculated values
**Symmetry**: P6_3mc
**Total DFT energy (no corrections)**: -4.01 eV/atom
**Total magnetic moment**: 0.00 μB per formula unit

***

An optimized crystal structure of Ti7Pt3, computed with PBE.

a = 7.5102 Å, b = 7.5102 Å, c = 5.4094 Å
α = 104.18°, β = 104.18°, γ = 33.17°
Sites, in units of the cell vectors:
Ti  0.0000  0.0000  0.0000
Ti  0.1964  0.1964  0.6333
Ti  0.3944  0.3944  0.1240
Ti  0.4045  0.4045  0.6373
Ti  0.5955  0.5955  0.3627
Ti  0.6056  0.6056  0.8760
Ti  0.8036  0.8036  0.3667
Pt  0.0000  0.0000  0.5000
Pt  0.2088  0.2088  0.1572
Pt  0.7912  0.7912  0.8428

Calculated values
**ΔH_f (0 K)**: -6.2 eV per formula unit
**Symmetry**: C2/m
**D(E_F)**: 12.096 states/eV per cell
**Total DFT energy (no corrections)**: -7.96 eV/atom
**Total magnetic moment**: 0.00 μB per formula unit

***

An optimized crystal structure of Ba3CaTi3O8, computed with PBE.

a = 5.8415 Å, b = 5.9369 Å, c = 7.4257 Å
α = 88.92°, β = 87.91°, γ = 61.88°
Sites, in units of the cell vectors:
Ba  0.0000  0.0000  0.0000
Ba  0.4196  0.2590  0.7332
Ba  0.5804  0.7410  0.2668
Ca  0.0000  0.5000  0.5000
Ti  0.0000  0.0000  0.5000
Ti  0.3215  0.3649  0.1761
Ti  0.6785  0.6351  0.8239
O  0.0000  0.5000  0.0000
O  0.1474  0.6959  0.3163
O  0.1552  0.1691  0.3221
O  0.3689  0.8117  0.6720
O  0.5000  0.5000  0.0000
O  0.6311  0.1883  0.3280
O  0.8448  0.8309  0.6779
O  0.8526  0.3041  0.6837

Calculated values
**Symmetry**: P-1
**D(E_F)**: 6.138 states/eV per cell
**Total DFT energy (no corrections)**: -7.19 eV/atom
**Polymorph energy (0 for the lowest one)**: 0.217 eV per atom
**Total magnetic moment**: 0.94 μB per formula unit

***

An optimized crystal structure of Ac2Pm5NdHo, computed with PBE.

a = 10.6981 Å, b = 10.6981 Å, c = 10.9731 Å
α = 90.00°, β = 90.00°, γ = 148.24°
Sites, in units of the cell vectors:
Ac  0.1136  0.8864  0.5000
Ac  0.1171  0.8829  0.0869
Ac  0.8829  0.1171  0.5869
Ac  0.8864  0.1136  0.0000
Pm  0.0190  0.9810  0.7904
Pm  0.2820  0.7180  0.0806
Pm  0.2953  0.7047  0.4727
Pm  0.3871  0.6129  0.7887
Pm  0.4827  0.5173  0.5101
Pm  0.5173  0.4827  0.0101
Pm  0.6129  0.3871  0.2887
Pm  0.7047  0.2953  0.9727
Pm  0.7180  0.2820  0.5806
Pm  0.9810  0.0190  0.2904
Nd  0.4105  0.5895  0.2329
Nd  0.5895  0.4105  0.7329
Ho  0.2057  0.7943  0.7783
Ho  0.7943  0.2057  0.2783

Calculated values
**ΔH_f (0 K)**: 1.2 eV per formula unit
**Symmetry**: Cmc2_1
**D(E_F)**: 24.840 states/eV per cell
**Total DFT energy (no corrections)**: -4.45 eV/atom
**Total magnetic moment**: 0.00 μB per formula unit

***

An optimized crystal structure of Cs2Ge2Ir, computed with PBE.

a = 8.0899 Å, b = 8.0899 Å, c = 8.0899 Å
α = 146.98°, β = 146.98°, γ = 47.39°
Sites, in units of the cell vectors:
Cs  0.2500  0.7500  0.5000
Cs  0.7500  0.2500  0.5000
Ge  0.0764  0.0764  0.0000
Ge  0.9236  0.9236  0.0000
Ir  0.5000  0.5000  0.0000

Calculated values
**ΔH_f (0 K)**: 5.6 eV per formula unit
**Symmetry**: I4/mmm
**D(E_F)**: 4.944 states/eV per cell
**Total DFT energy (no corrections)**: -2.84 eV/atom
**Polymorph energy (0 for the lowest one)**: 0.972 eV per atom
**Total magnetic moment**: 0.00 μB per formula unit

***

An optimized crystal structure of ScSbOs, computed with PBE.

a = 6.2024 Å, b = 6.2024 Å, c = 6.2024 Å
α = 150.24°, β = 150.24°, γ = 42.59°
Sites, in units of the cell vectors:
Sc  0.0000  0.0000  0.0000
Sb  0.7127  0.7127  0.0000
Os  0.3529  0.3529  0.0000

Calculated values
**Symmetry**: I4mm
**D(E_F)**: 1.043 states/eV per cell
**Total DFT energy (no corrections)**: -7.42 eV/atom
**Total magnetic moment**: 0.00 μB per formula unit

***

An optimized crystal structure of LiTiIn2, computed with PBE.

a = 5.0683 Å, b = 5.0683 Å, c = 3.0692 Å
α = 90.00°, β = 90.00°, γ = 99.72°
Sites, in units of the cell vectors:
Li  0.0000  0.0000  0.0000
Ti  0.5000  0.5000  0.0000
In  0.0000  0.5000  0.5000
In  0.5000  0.0000  0.5000

Calculated values
**ΔH_f (0 K)**: -0.9 eV per formula unit
**Symmetry**: Cmmm
**D(E_F)**: 1.558 states/eV per cell
**Total DFT energy (no corrections)**: -4.04 eV/atom
**Polymorph energy (0 for the lowest one)**: 0.000 eV per atom
**Total magnetic moment**: 0.63 μB per formula unit

***

An optimized crystal structure of AlIn2Cl5, computed with PBE.

a = 10.6270 Å, b = 10.6270 Å, c = 14.5422 Å
α = 116.62°, β = 116.62°, γ = 52.93°
Sites, in units of the cell vectors:
Al  0.0990  0.2470  0.3273
Al  0.2470  0.0990  0.8273
Al  0.7530  0.9010  0.1727
Al  0.9010  0.7530  0.6727
In  0.2159  0.5146  0.1775
In  0.2522  0.6813  0.5432
In  0.3187  0.7478  0.9568
In  0.4854  0.7841  0.3225
In  0.5146  0.2159  0.6775
In  0.6813  0.2522  0.0432
In  0.7478  0.3187  0.4568
In  0.7841  0.4854  0.8225
Cl  0.0512  0.1386  0.6848
Cl  0.1386  0.0512  0.1848
Cl  0.1486  0.1904  0.9596
Cl  0.1617  0.5855  0.6957
Cl  0.1904  0.1486  0.4596
Cl  0.2231  0.3684  0.3557
Cl  0.3684  0.2231  0.8557
Cl  0.4037  0.5738  0.1125
Cl  0.4145  0.8383  0.8043
Cl  0.4262  0.5963  0.3875
Cl  0.5738  0.4037  0.6125
Cl  0.5855  0.1617  0.1957
Cl  0.5963  0.4262  0.8875
Cl  0.6316  0.7769  0.1443
Cl  0.7769  0.6316  0.6443
Cl  0.8096  0.8514  0.5404
Cl  0.8383  0.4145  0.3043
Cl  0.8514  0.8096  0.0404
Cl  0.8614  0.9488  0.8152
Cl  0.9488  0.8614  0.3152

Calculated values
**Symmetry**: C2/c
**D(E_F)**: 0.000 states/eV per cell
**Total DFT energy (no corrections)**: -3.53 eV/atom
**Polymorph energy (0 for the lowest one)**: 0.000 eV per atom
**Total magnetic moment**: 0.00 μB per formula unit

***

An optimized crystal structure of CsTlInPb2, computed with PBE.

a = 7.6782 Å, b = 7.6782 Å, c = 7.6782 Å
α = 139.38°, β = 139.38°, γ = 58.79°
Sites, in units of the cell vectors:
Cs  0.0000  0.0000  0.0000
Tl  0.2500  0.7500  0.5000
In  0.7500  0.2500  0.5000
Pb  0.3782  0.3782  0.0000
Pb  0.6218  0.6218  0.0000

Calculated values
**ΔH_f (0 K)**: -0.4 eV per formula unit
**Symmetry**: I-4m2
**D(E_F)**: 2.046 states/eV per cell
**Total DFT energy (no corrections)**: -2.76 eV/atom
**Total magnetic moment**: 0.00 μB per formula unit

***

An optimized crystal structure of Pm6Nd3Cd, computed with PBE.

a = 11.1278 Å, b = 5.1979 Å, c = 11.5452 Å
α = 90.00°, β = 92.76°, γ = 90.00°
Sites, in units of the cell vectors:
Pm  0.0434  0.2500  0.3889
Pm  0.1304  0.7500  0.1788
Pm  0.1545  0.2500  0.6815
Pm  0.2273  0.2500  0.9895
Pm  0.3430  0.7500  0.7958
Pm  0.4497  0.2500  0.6007
Pm  0.5503  0.7500  0.3993
Pm  0.6570  0.2500  0.2042
Pm  0.7727  0.7500  0.0105
Pm  0.8455  0.7500  0.3185
Pm  0.8696  0.2500  0.8212
Pm  0.9566  0.7500  0.6111
Nd  0.2452  0.7500  0.4866
Nd  0.3441  0.2500  0.2889
Nd  0.4481  0.7500  0.0960
Nd  0.5519  0.2500  0.9040
Nd  0.6559  0.7500  0.7111
Nd  0.7548  0.2500  0.5134
Cd  0.0565  0.7500  0.8885
Cd  0.9435  0.2500  0.1115

Calculated values
**ΔH_f (0 K)**: -0.2 eV per formula unit
**Symmetry**: P2_1/m
**D(E_F)**: 30.158 states/eV per cell
**Total DFT energy (no corrections)**: -4.39 eV/atom
**Polymorph energy (0 for the lowest one)**: 0.000 eV per atom
**Total magnetic moment**: 0.00 μB per formula unit

***

An optimized crystal structure of Sr2B5BrO9, computed with PBE.

a = 11.5720 Å, b = 11.7023 Å, c = 6.5354 Å
α = 90.00°, β = 90.00°, γ = 90.00°
Sites, in units of the cell vectors:
Sr  0.0440  0.2466  0.0000
Sr  0.2395  0.4679  0.6589
Sr  0.2605  0.9679  0.1589
Sr  0.4560  0.7466  0.5000
Sr  0.5440  0.2534  0.5000
Sr  0.7395  0.0321  0.1589
Sr  0.7605  0.5321  0.6589
Sr  0.9560  0.7534  0.0000
B  0.0101  0.7560  0.5335
B  0.1798  0.7258  0.3064
B  0.2098  0.8118  0.6591
B  0.2133  0.2034  0.4764
B  0.2402  0.0347  0.6958
B  0.2599  0.5347  0.1958
B  0.2867  0.7034  0.9764
B  0.2902  0.3118  0.1591
B  0.3202  0.2258  0.8064
B  0.4899  0.2560  0.0335
B  0.5101  0.7440  0.0335
B  0.6798  0.7742  0.8064
B  0.7098  0.6882  0.1591
B  0.7133  0.2966  0.9764
B  0.7402  0.4653  0.1958
B  0.7598  0.9653  0.6958
B  0.7867  0.7966  0.4764
B  0.7902  0.1882  0.6591
B  0.8202  0.2742  0.3064
B  0.9899  0.2440  0.5335
Br  0.0000  0.0000  0.1192
Br  0.0000  0.5000  0.8631
Br  0.5000  0.0000  0.3631
Br  0.5000  0.5000  0.6192
O  0.0523  0.7236  0.3462
O  0.0833  0.7899  0.6886
O  0.1058  0.2513  0.5811
O  0.1902  0.7554  0.0898
O  0.2134  0.0748  0.5045
O  0.2182  0.2228  0.2573
O  0.2292  0.6103  0.3519
O  0.2376  0.8123  0.4375
O  0.2394  0.9226  0.7561
O  0.2606  0.4226  0.2561
O  0.2624  0.3123  0.9375
O  0.2708  0.1103  0.8519
O  0.2818  0.7228  0.7573
O  0.2866  0.5748  0.0045
O  0.3098  0.2554  0.5898
O  0.3942  0.7513  0.0811
O  0.4167  0.2899  0.1886
O  0.4477  0.2236  0.8462
O  0.5523  0.7764  0.8462
O  0.5833  0.7101  0.1886
O  0.6058  0.2487  0.0811
O  0.6902  0.7446  0.5898
O  0.7134  0.4252  0.0045
O  0.7182  0.2772  0.7573
O  0.7292  0.8897  0.8519
O  0.7376  0.6877  0.9375
O  0.7394  0.5774  0.2561
O  0.7606  0.0774  0.7561
O  0.7624  0.1877  0.4375
O  0.7708  0.3897  0.3519
O  0.7818  0.7772  0.2573
O  0.7866  0.9252  0.5045
O  0.8098  0.2446  0.0898
O  0.8942  0.7487  0.5811
O  0.9167  0.2101  0.6886
O  0.9477  0.2764  0.3462

Calculated values
**Symmetry**: Pnn2
**D(E_F)**: 0.000 states/eV per cell
**Total DFT energy (no corrections)**: -7.52 eV/atom
**Total magnetic moment**: 0.00 μB per formula unit

***

An optimized crystal structure of HoMgPb6, computed with PBE.

a = 4.7708 Å, b = 4.7708 Å, c = 10.1961 Å
α = 90.00°, β = 90.00°, γ = 90.00°
Sites, in units of the cell vectors:
Ho  0.0000  0.0000  0.0000
Mg  0.0000  0.0000  0.5000
Pb  0.0000  0.5000  0.2514
Pb  0.0000  0.5000  0.7486
Pb  0.5000  0.0000  0.2514
Pb  0.5000  0.0000  0.7486
Pb  0.5000  0.5000  0.0000
Pb  0.5000  0.5000  0.5000

Calculated values
**ΔH_f (0 K)**: -0.9 eV per formula unit
**Symmetry**: P4/mmm
**D(E_F)**: 4.058 states/eV per cell
**Total DFT energy (no corrections)**: -3.67 eV/atom
**Total magnetic moment**: 0.00 μB per formula unit

***

An optimized crystal structure of Zr2InPd4, computed with PBE.

a = 7.5811 Å, b = 7.5811 Å, c = 7.5811 Å
α = 142.29°, β = 142.29°, γ = 54.39°
Sites, in units of the cell vectors:
Zr  0.1166  0.1166  0.0000
Zr  0.8834  0.8834  0.0000
In  0.5000  0.5000  0.0000
Pd  0.0000  0.5000  0.5000
Pd  0.3009  0.3009  0.0000
Pd  0.5000  0.0000  0.5000
Pd  0.6991  0.6991  0.0000

Calculated values
**ΔH_f (0 K)**: 1.7 eV per formula unit
**Symmetry**: I4/mmm
**D(E_F)**: 6.633 states/eV per cell
**Total DFT energy (no corrections)**: -5.55 eV/atom
**Polymorph energy (0 for the lowest one)**: 0.837 eV per atom
**Total magnetic moment**: 0.00 μB per formula unit

***

An optimized crystal structure of Ce2HgH, computed with PBE.

a = 8.5787 Å, b = 8.5787 Å, c = 8.5787 Å
α = 22.99°, β = 22.99°, γ = 22.99°
Sites, in units of the cell vectors:
Ce  0.2273  0.2273  0.2273
Ce  0.7727  0.7727  0.7727
Hg  0.0000  0.0000  0.0000
H  0.5000  0.5000  0.5000

Calculated values
**Symmetry**: R-3m
**D(E_F)**: 7.625 states/eV per cell
**Total DFT energy (no corrections)**: -4.12 eV/atom
**Polymorph energy (0 for the lowest one)**: 0.048 eV per atom
**Total magnetic moment**: 1.09 μB per formula unit

***

An optimized crystal structure of PmErS2, computed with PBE.

a = 7.1709 Å, b = 7.1709 Å, c = 7.1709 Å
α = 31.35°, β = 31.35°, γ = 31.35°
Sites, in units of the cell vectors:
Pm  0.0000  0.0000  0.0000
Er  0.8222  0.8222  0.8222
S  0.2389  0.2389  0.2389
S  0.4172  0.4172  0.4172

Calculated values
**Symmetry**: R3m
**D(E_F)**: 0.639 states/eV per cell
**Total DFT energy (no corrections)**: -6.37 eV/atom
**Polymorph energy (0 for the lowest one)**: 0.027 eV per atom
**Total magnetic moment**: 0.00 μB per formula unit

***

An optimized crystal structure of CdMoN2, computed with PBE.

a = 6.0336 Å, b = 6.0336 Å, c = 6.0336 Å
α = 131.39°, β = 131.39°, γ = 71.19°
Sites, in units of the cell vectors:
Cd  0.0000  0.0000  0.0000
Cd  0.7500  0.2500  0.5000
Mo  0.2500  0.7500  0.5000
Mo  0.5000  0.5000  0.0000
N  0.2027  0.6250  0.0777
N  0.3750  0.4527  0.5777
N  0.5473  0.1250  0.9223
N  0.8750  0.7973  0.4223

Calculated values
**Symmetry**: I-42d
**D(E_F)**: 6.683 states/eV per cell
**Total DFT energy (no corrections)**: -6.98 eV/atom
**Total magnetic moment**: 0.00 μB per formula unit

***

An optimized crystal structure of TbNp3In3Te8, computed with PBE.

a = 8.8367 Å, b = 8.8367 Å, c = 9.6390 Å
α = 117.29°, β = 117.29°, γ = 59.99°
Sites, in units of the cell vectors:
Tb  0.0000  0.0000  0.0000
Np  0.0000  0.5000  0.0000
Np  0.5000  0.0000  0.0000
Np  0.5000  0.5000  0.0000
In  0.0000  0.0000  0.5000
In  0.0000  0.5000  0.5000
In  0.5000  0.0000  0.5000
Te  0.2396  0.2396  0.2196
Te  0.2417  0.7385  0.2180
Te  0.2605  0.2605  0.7796
Te  0.2615  0.7583  0.7820
Te  0.7385  0.2417  0.2180
Te  0.7395  0.7395  0.2204
Te  0.7583  0.2615  0.7820
Te  0.7604  0.7604  0.7804

Calculated values
**Symmetry**: C2/m
**D(E_F)**: 24.994 states/eV per cell
**Total DFT energy (no corrections)**: -5.94 eV/atom
**Total magnetic moment**: 11.00 μB per formula unit

***

An optimized crystal structure of NdAgRh, computed with PBE.

a = 4.6041 Å, b = 4.6041 Å, c = 3.6378 Å
α = 90.00°, β = 90.00°, γ = 120.00°
Sites, in units of the cell vectors:
Nd  0.0000  0.0000  0.0000
Ag  0.6667  0.3333  0.5000
Rh  0.3333  0.6667  0.5000

Calculated values
**ΔH_f (0 K)**: -0.9 eV per formula unit
**Symmetry**: P-6m2
**D(E_F)**: 1.839 states/eV per cell
**Total DFT energy (no corrections)**: -5.28 eV/atom
**Polymorph energy (0 for the lowest one)**: 0.142 eV per atom
**Total magnetic moment**: 0.00 μB per formula unit

***

An optimized crystal structure of AcCu4Ru, computed with PBE.

a = 5.1564 Å, b = 5.1564 Å, c = 5.1564 Å
α = 60.00°, β = 60.00°, γ = 60.00°
Sites, in units of the cell vectors:
Ac  0.0000  0.0000  0.0000
Cu  0.3776  0.3776  0.3776
Cu  0.3776  0.3776  0.8671
Cu  0.3776  0.8671  0.3776
Cu  0.8671  0.3776  0.3776
Ru  0.7500  0.7500  0.7500

Calculated values
**ΔH_f (0 K)**: 0.7 eV per formula unit
**Symmetry**: F-43m
**D(E_F)**: 4.286 states/eV per cell
**Total DFT energy (no corrections)**: -4.84 eV/atom
**Total magnetic moment**: 0.57 μB per formula unit

***

An optimized crystal structure of ZnIn2SiGe, computed with PBE.

a = 5.4511 Å, b = 5.4511 Å, c = 4.7471 Å
α = 90.00°, β = 90.00°, γ = 90.00°
Sites, in units of the cell vectors:
Zn  0.0000  0.0000  0.0000
In  0.0000  0.5000  0.5000
In  0.5000  0.0000  0.5000
Si  0.5000  0.5000  0.0000
Ge  0.5000  0.5000  0.5000

Calculated values
**Symmetry**: P4/mmm
**D(E_F)**: 1.658 states/eV per cell
**Total DFT energy (no corrections)**: -2.70 eV/atom
**Total magnetic moment**: 0.00 μB per formula unit